Entry 1:
# PBE-GGA Tb6Te5H, optimized geometry
# * size of the total moment: 0.0 Bohr magnetons per cell
# * DFT total energy: -4.9682 eV/atom
data_Tb6Te5H
_cell_length_a 7.4607
_cell_length_b 12.9134
_cell_length_c 7.4088
_cell_angle_alpha 90.00
_cell_angle_beta 109.96
_cell_angle_gamma 90.00
_space_group_name_H-M_alt 'C 1 2/m 1'
_space_group_IT_number 12
loop_
_space_group_symop_operation_xyz
'x,y,z'
'-x,-y,-z'
'-x,y,-z'
'x,-y,z'
'x+1/2,y+1/2,z'
'-x+1/2,-y+1/2,-z'
'-x+1/2,y+1/2,-z'
'x+1/2,-y+1/2,z'
loop_
_atom_site_label
_atom_site_type_symbol
_atom_site_fract_x
_atom_site_fract_y
_atom_site_fract_z
Tb1 Tb 0.1924 0.0000 0.2922
Tb2 Tb 0.2329 0.1605 0.7331
Te1 Te 0.0000 0.1731 0.0000
Te2 Te 0.0000 0.3423 0.5000
Te3 Te 0.0000 0.5000 0.0000
H1 H 0.0000 0.0000 0.5000



Entry 2:
# PBE-GGA YCuBr2, optimized geometry
# * energy above the most stable polymorph in this dataset: 39.7 kJ per mole of atoms
# * size of the total moment: 0.0 Bohr magnetons per cell
# * formation energy without anion corrections: -195 kJ/mol of formula units
data_YCuBr2
_cell_length_a 4.0283
_cell_length_b 4.6591
_cell_length_c 4.6910
_cell_angle_alpha 90.00
_cell_angle_beta 90.00
_cell_angle_gamma 90.00
_space_group_name_H-M_alt 'P m m m'
_space_group_IT_number 47
loop_
_space_group_symop_operation_xyz
'x,y,z'
'-x,-y,-z'
'-x,-y,z'
'x,y,-z'
'x,-y,-z'
'-x,y,z'
'-x,y,-z'
'x,-y,z'
loop_
_atom_site_label
_atom_site_type_symbol
_atom_site_fract_x
_atom_site_fract_y
_atom_site_fract_z
Y1 Y 0.0000 0.0000 0.0000
Cu1 Cu 0.0000 0.5000 0.5000
Br1 Br 0.5000 0.0000 0.5000
Br2 Br 0.5000 0.5000 0.0000



Entry 3:
# PBE-GGA Nd2TaBr, optimized geometry
# * size of the total moment: 3.1 Bohr magnetons per cell
# * formation energy without anion corrections: 65 kJ/mol of formula units
data_Nd2TaBr
_cell_length_a 3.3380
_cell_length_b 3.3380
_cell_length_c 33.1330
_cell_angle_alpha 90.00
_cell_angle_beta 90.00
_cell_angle_gamma 120.00
_space_group_name_H-M_alt 'R -3 m'
_space_group_IT_number 166
_space_group_name_Hall '-R 3 2"'
loop_
_atom_site_label
_atom_site_type_symbol
_atom_site_fract_x
_atom_site_fract_y
_atom_site_fract_z
Nd1 Nd 0.0000 0.0000 0.0918
Ta1 Ta 0.0000 0.0000 0.0000
Br1 Br 0.0000 0.0000 0.5000



Entry 4:
# PBE-GGA MgBTe, optimized geometry
# * energy above the most stable polymorph in this dataset: 3.0 kJ per mole of atoms
# * size of the total moment: 0.0 Bohr magnetons per cell
# * formation energy without anion corrections: -25 kJ/mol of formula units
data_MgBTe
_cell_length_a 3.1418
_cell_length_b 4.3208
_cell_length_c 10.3200
_cell_angle_alpha 84.46
_cell_angle_beta 89.87
_cell_angle_gamma 68.70
_space_group_name_H-M_alt 'P 1'
_space_group_IT_number 1
loop_
_space_group_symop_operation_xyz
'x,y,z'
loop_
_atom_site_label
_atom_site_type_symbol
_atom_site_fract_x
_atom_site_fract_y
_atom_site_fract_z
Mg1 Mg 0.0000 0.0000 0.0000
Mg2 Mg 0.2617 0.4637 0.5380
B1 B 0.5193 0.9495 0.4513
B2 B 0.9813 0.0255 0.4515
Te1 Te 0.2669 0.4671 0.8156
Te2 Te 0.7332 0.5301 0.1748



Entry 5:
# PBE-GGA MnAs4Au, optimized geometry
# * size of the total moment: 19.5 Bohr magnetons per cell
# * formation energy from the elements: 520 meV/atom
data_MnAs4Au
_cell_length_a 7.8184
_cell_length_b 7.8184
_cell_length_c 7.8184
_cell_angle_alpha 90.00
_cell_angle_beta 90.00
_cell_angle_gamma 90.00
_space_group_name_H-M_alt 'F -4 3 m'
_space_group_IT_number 216
_space_group_name_Hall 'F -4 2 3'
loop_
_atom_site_label
_atom_site_type_symbol
_atom_site_fract_x
_atom_site_fract_y
_atom_site_fract_z
Mn1 Mn 0.0000 0.0000 0.0000
As1 As 0.1242 0.1242 0.6242
Au1 Au 0.2500 0.2500 0.2500



Entry 6:
# PBE-GGA CsAc2Se3, optimized geometry
# * size of the total moment: 0.0 Bohr magnetons per cell
# * formation energy without anion corrections: -1050 kJ/mol of formula units
data_CsAc2Se3
_cell_length_a 4.5523
_cell_length_b 4.5523
_cell_length_c 24.2978
_cell_angle_alpha 90.00
_cell_angle_beta 90.00
_cell_angle_gamma 120.00
_space_group_name_H-M_alt 'P 63/m m c'
_space_group_IT_number 194
_space_group_name_Hall '-P 6c 2c'
loop_
_atom_site_label
_atom_site_type_symbol
_atom_site_fract_x
_atom_site_fract_y
_atom_site_fract_z
Cs1 Cs 0.0000 0.0000 0.2500
Ac1 Ac 0.3333 0.6667 0.0757
Se1 Se 0.0000 0.0000 0.0000
Se2 Se 0.3333 0.6667 0.6447



Entry 7:
# PBE-GGA Pm6HoCd5, optimized geometry
# * size of the total moment: 0.0 Bohr magnetons per cell
# * formation energy from the elements: -227 meV/atom
data_Pm6HoCd5
_cell_length_a 5.3953
_cell_length_b 7.8272
_cell_length_c 16.3515
_cell_angle_alpha 90.00
_cell_angle_beta 90.00
_cell_angle_gamma 90.00
_space_group_name_H-M_alt 'I m m m'
_space_group_IT_number 71
_space_group_name_Hall '-I 2 2'
loop_
_atom_site_label
_atom_site_type_symbol
_atom_site_fract_x
_atom_site_fract_y
_atom_site_fract_z
Pm1 Pm 0.0000 0.2331 0.0000
Pm2 Pm 0.0000 0.2559 0.3292
Ho1 Ho 0.0000 0.0000 0.5000
Cd1 Cd 0.0000 0.0000 0.1683
Cd2 Cd 0.0000 0.5000 0.1546
Cd3 Cd 0.0000 0.5000 0.5000



Entry 8:
# PBE-GGA ZrIn2F11, optimized geometry
# * size of the total moment: 4.3 Bohr magnetons per cell
# * formation energy without anion corrections: -3606 kJ/mol of formula units
data_ZrIn2F11
_cell_length_a 7.9392
_cell_length_b 9.8823
_cell_length_c 10.4745
_cell_angle_alpha 90.00
_cell_angle_beta 90.00
_cell_angle_gamma 90.00
_space_group_name_H-M_alt 'I b a m'
_space_group_IT_number 72
_space_group_name_Hall '-I 2 2c'
loop_
_atom_site_label
_atom_site_type_symbol
_atom_site_fract_x
_atom_site_fract_y
_atom_site_fract_z
Zr1 Zr 0.0000 0.0000 0.2500
In1 In 0.1636 0.3074 0.0000
F1 F 0.0000 0.5000 0.0000
F2 F 0.0964 0.1671 0.1450
F3 F 0.1087 0.3083 0.5000
F4 F 0.2093 0.0732 0.3630



Entry 9:
# PBE-GGA MgZnBi, optimized geometry
# * size of the total moment: 0.0 Bohr magnetons per cell
# * formation energy from the elements: 50 meV/atom
data_MgZnBi
_cell_length_a 3.9913
_cell_length_b 3.9913
_cell_length_c 9.0927
_cell_angle_alpha 90.00
_cell_angle_beta 90.00
_cell_angle_gamma 90.00
_space_group_name_H-M_alt 'I 4 m m'
_space_group_IT_number 107
_space_group_name_Hall 'I 4 -2'
loop_
_atom_site_label
_atom_site_type_symbol
_atom_site_fract_x
_atom_site_fract_y
_atom_site_fract_z
Mg1 Mg 0.0000 0.0000 0.0000
Zn1 Zn 0.0000 0.0000 0.6740
Bi1 Bi 0.0000 0.0000 0.3365



Entry 10:
# PBE-GGA Np4Ge6Os7, optimized geometry
# * size of the total moment: 21.8 Bohr magnetons per cell
# * formation energy from the elements: -253 meV/atom
data_Np4Ge6Os7
_cell_length_a 8.3466
_cell_length_b 8.3466
_cell_length_c 8.3466
_cell_angle_alpha 90.00
_cell_angle_beta 90.00
_cell_angle_gamma 90.00
_space_group_name_H-M_alt 'I m -3 m'
_space_group_IT_number 229
_space_group_name_Hall '-I 4 2 3'
loop_
_atom_site_label
_atom_site_type_symbol
_atom_site_fract_x
_atom_site_fract_y
_atom_site_fract_z
Np1 Np 0.2500 0.2500 0.2500
Ge1 Ge 0.0000 0.0000 0.3073
Os1 Os 0.0000 0.0000 0.0000
Os2 Os 0.0000 0.2500 0.5000



Entry 11:
# PBE-GGA Ti3TlGa, optimized geometry
# * energy above the most stable polymorph in this dataset: 124.5 kJ per mole of atoms
# * size of the total moment: 2.0 Bohr magnetons per cell
# * formation energy from the elements: 1183 meV/atom
data_Ti3TlGa
_cell_length_a 5.0492
_cell_length_b 5.0492
_cell_length_c 5.0492
_cell_angle_alpha 90.00
_cell_angle_beta 90.00
_cell_angle_gamma 90.00
_space_group_name_H-M_alt 'P m -3 m'
_space_group_IT_number 221
_space_group_name_Hall '-P 4 2 3'
loop_
_atom_site_label
_atom_site_type_symbol
_atom_site_fract_x
_atom_site_fract_y
_atom_site_fract_z
Ti1 Ti 0.0000 0.0000 0.5000
Tl1 Tl 0.0000 0.0000 0.0000
Ga1 Ga 0.5000 0.5000 0.5000



Entry 12:
# PBE-GGA PmEr2ReO8, optimized geometry
# * size of the total moment: 0.0 Bohr magnetons per cell
# * formation energy without anion corrections: -3222 kJ/mol of formula units
data_PmEr2ReO8
_cell_length_a 7.1191
_cell_length_b 7.1369
_cell_length_c 6.8080
_cell_angle_alpha 90.00
_cell_angle_beta 90.00
_cell_angle_gamma 90.00
_space_group_name_H-M_alt 'C m m m'
_space_group_IT_number 65
_space_group_name_Hall '-C 2 2'
loop_
_atom_site_label
_atom_site_type_symbol
_atom_site_fract_x
_atom_site_fract_y
_atom_site_fract_z
Pm1 Pm 0.0000 0.0000 0.0000
Er1 Er 0.0000 0.5000 0.2482
Re1 Re 0.0000 0.0000 0.5000
O1 O 0.0000 0.2673 0.5000
O2 O 0.0000 0.3148 0.0000
O3 O 0.1847 0.0000 0.2972